VASP calculation (GGA-PBE) on a geometry-optimized Hg2AsI6 structure.

E_form (uncorrected) ... -0.136 eV per atom
Symmetry ... No. 15

```
Hg2AsI6
1.0
-2.4234 -7.3651 2.0901
3.6870 -4.3977 -8.2051
8.8856 -2.7219 3.7276
Hg As I
4 2 12
direct
0.1642 0.6253 0.7693 Hg
0.3358 0.2307 0.3747 Hg
0.8358 0.3747 0.2307 Hg
0.6642 0.7693 0.6253 Hg
0.2500 0.1147 0.8853 As
0.7500 0.8853 0.1147 As
0.3572 0.7075 0.5221 I
0.1428 0.4779 0.2925 I
0.6428 0.2925 0.4779 I
0.8572 0.5221 0.7075 I
0.8666 0.8669 0.3589 I
0.6334 0.6411 0.1331 I
0.1334 0.1331 0.6411 I
0.3666 0.3589 0.8669 I
0.0886 0.8050 0.9648 I
0.4114 0.0352 0.1950 I
0.9114 0.1950 0.0352 I
0.5886 0.9648 0.8050 I
```

***

VASP calculation (GGA-PBE) on a geometry-optimized ZnRe4Cl structure.

E_form (uncorrected) ... 1.140 eV per atom
Symmetry ... No. 216

```
ZnRe4Cl
1.0
0.0000 3.7161 3.7161
3.7161 0.0000 3.7161
3.7161 3.7161 0.0000
Zn Re Cl
1 4 1
direct
0.7500 0.7500 0.7500 Zn
0.8778 0.3741 0.3741 Re
0.3741 0.3741 0.8778 Re
0.3741 0.8778 0.3741 Re
0.3741 0.3741 0.3741 Re
0.0000 0.0000 0.0000 Cl
```

***

VASP calculation (GGA-PBE) on a geometry-optimized Pm3PuCo structure.

Symmetry ... No. 221
Calculated formation energy ... 0.9 eV/f.u.

```
Pm3PuCo
1.0
-4.3053 0.2235 3.2316
-1.1093 -5.1518 -1.1215
3.0435 -1.5615 4.1627
Pm Co Pu
3 1 1
direct
0.0000 0.5000 0.0000 Pm
0.0000 0.0000 0.5000 Pm
0.5000 0.0000 0.0000 Pm
0.0000 0.0000 0.0000 Co
0.5000 0.5000 0.5000 Pu
```

***

VASP calculation (GGA-PBE) on a geometry-optimized Ce3SiTc2 structure.

E_form (uncorrected) ... -0.320 eV per atom
Symmetry ... No. 71
Distance to the lowest polymorph of the same formula ... 0 meV/atom

```
Ce3SiTc2
1.0
4.2552 0.0000 -1.2313
-0.3498 4.2392 -1.2088
-0.2336 -0.2838 7.1589
Ce Si Tc
3 1 2
direct
0.5000 0.5000 0.0000 Ce
0.8134 0.3133 0.6267 Ce
0.1866 0.6867 0.3733 Ce
0.0000 0.0000 0.0000 Si
0.3670 0.8669 0.7338 Tc
0.6330 0.1331 0.2662 Tc
```

***

VASP calculation (GGA-PBE) on a geometry-optimized Cr5Sb3 structure.

E_form (uncorrected) ... 0.386 eV per atom
Symmetry ... No. 65

```
Cr5Sb3
1.0
3.6321 -4.3175 0.0000
3.6321 4.3175 0.0000
0.0000 0.0000 4.1543
Cr Sb
5 3
direct
0.0000 0.0000 0.0000 Cr
0.0000 0.5000 0.0000 Cr
0.5000 0.0000 0.0000 Cr
0.2846 0.2846 0.5000 Cr
0.7154 0.7154 0.5000 Cr
0.5000 0.5000 0.0000 Sb
0.8005 0.1995 0.5000 Sb
0.1995 0.8005 0.5000 Sb
```

***

VASP calculation (GGA-PBE) on a geometry-optimized Ba12TlAg6 structure.

Symmetry ... No. 148
Distance to the lowest polymorph of the same formula ... 67 meV/atom
Calculated formation energy ... -2.4 eV/f.u.

```
Ba12TlAg6
1.0
-9.6337 0.0631 2.8386
-0.6573 -2.8587 -9.6055
3.4452 -8.3241 4.4396
Ba Tl Ag
12 1 6
direct
0.8265 0.5873 0.4384 Ba
0.4384 0.8265 0.5873 Ba
0.5873 0.4384 0.8265 Ba
0.1735 0.4127 0.5616 Ba
0.5616 0.1735 0.4127 Ba
0.4127 0.5616 0.1735 Ba
0.0733 0.9330 0.3240 Ba
0.0670 0.6760 0.9267 Ba
0.6760 0.9267 0.0670 Ba
0.9267 0.0670 0.6760 Ba
0.9330 0.3240 0.0733 Ba
0.3240 0.0733 0.9330 Ba
0.0000 0.0000 0.0000 Tl
0.6840 0.8602 0.3829 Ag
0.6171 0.3160 0.1398 Ag
0.1398 0.6171 0.3160 Ag
0.3160 0.1398 0.6171 Ag
0.3829 0.6840 0.8602 Ag
0.8602 0.3829 0.6840 Ag
```

***

| no. | calculated volume (Å³/atom) | calculated total energy (eV per atom) |
| --- | --- | --- |
| 1 | 44.04 | -1.753 |
| 2 | 17.11 | -7.678 |
| 3 | 31.28 | -6.953 |
| 4 | 21.06 | -7.646 |
| 5 | 16.29 | -7.175 |
| 6 | 49.16 | -2.366 |